{"formula": "Sc2CuNi3", "functional": "PBE", "state": "relaxed", "lattice_angstrom": [[-1.460, 4.512, -1.499], [-3.260, -3.084, 2.145], [1.862, 2.953, 7.076]], "species": ["Ni", "Cu", "Ni", "Ni", "Sc", "Ni", "Sc", "Ni", "Ni", "Sc", "Cu", "Sc"], "fractional_positions": [[0.338, 0.169, 0.750], [0.000, 0.000, 0.500], [0.169, 0.831, 0.250], [0.831, 0.662, 0.750], [0.667, 0.333, 0.061], [0.831, 0.169, 0.750], [0.333, 0.667, 0.939], [0.169, 0.338, 0.250], [0.662, 0.831, 0.250], [0.667, 0.333, 0.439], [0.000, 0.000, 0.000], [0.333, 0.667, 0.561]], "delta_e_f_ev_per_fu": -2.74, "sg": "No. 194", "vol_a3_per_cell": 169.1}

{"formula": "KAl2SiBr", "functional": "PBE", "state": "relaxed", "lattice_angstrom": [[-4.675, 0.852, 1.581], [-0.297, -4.715, 1.663], [2.193, 1.805, 5.510]], "species": ["Si", "Al", "K", "Br", "Al"], "fractional_positions": [[0.000, 0.000, 0.000], [0.500, 0.000, 0.000], [0.500, 0.500, 0.500], [0.000, 0.000, 0.500], [0.000, 0.500, 0.000]], "energy_ev_per_atom": -3.025, "sg": "No. 123", "vol_a3_per_cell": 155.5}

{"formula": "InSe2", "functional": "PBE", "state": "relaxed", "lattice_angstrom": [[-4.219, -0.064, 3.104], [-0.281, -5.208, -0.489], [1.758, -0.319, 2.383]], "species": ["Se", "In", "Se"], "fractional_positions": [[0.000, 0.500, 0.500], [0.000, 0.000, 0.000], [0.500, 0.000, 0.500]], "energy_ev_per_atom": -3.066, "sg": "No. 123", "vol_a3_per_cell": 81.7}

{"formula": "BeSiRh2", "functional": "PBE", "state": "relaxed", "lattice_angstrom": [[4.581, 0.000, -0.012], [3.721, 2.672, -0.012], [0.946, 0.305, 3.994]], "species": ["Be", "Rh", "Si", "Rh"], "fractional_positions": [[0.746, 0.746, 0.819], [0.009, 0.009, 0.922], [0.502, 0.502, 0.436], [0.242, 0.242, 0.323]], "polymorph_energy_ev_per_atom": 0.172, "sg": "No. 8", "vol_a3_per_cell": 48.9}

{"formula": "HgAsPbSe2", "functional": "PBE", "state": "relaxed", "lattice_angstrom": [[5.360, 0.000, 0.000], [0.000, 5.360, 0.000], [0.000, 0.000, 5.210]], "species": ["Se", "Pb", "Se", "Hg", "As"], "fractional_positions": [[0.500, 0.000, 0.000], [0.500, 0.500, 0.500], [0.000, 0.500, 0.000], [0.000, 0.000, 0.000], [0.000, 0.000, 0.500]], "polymorph_energy_ev_per_atom": 0.376, "sg": "No. 123", "vol_a3_per_cell": 149.7}

{"formula": "RbCd2Pt", "functional": "PBE", "state": "relaxed", "lattice_angstrom": [[5.709, 0.000, 0.000], [0.000, 5.709, 0.000], [2.854, 2.854, 9.008]], "species": ["Pt", "Pt", "Cd", "Cd", "Cd", "Rb", "Rb", "Cd"], "fractional_positions": [[0.750, 0.250, 0.500], [0.000, 0.000, 0.000], [0.876, 0.125, 0.250], [0.375, 0.124, 0.750], [0.874, 0.625, 0.250], [0.250, 0.750, 0.500], [0.500, 0.500, 0.000], [0.875, 0.126, 0.750]], "delta_e_f_ev_per_fu": -0.16, "polymorph_energy_ev_per_atom": 0.174, "sg": "No. 141", "vol_a3_per_cell": 293.6}

{"formula": "MnRePCl2", "functional": "PBE", "state": "relaxed", "lattice_angstrom": [[4.891, 0.000, 0.000], [0.000, 4.891, 0.000], [0.000, 0.000, 4.636]], "species": ["Re", "Mn", "Cl", "P", "Cl"], "fractional_positions": [[0.000, 0.000, 0.000], [0.500, 0.500, 0.500], [0.000, 0.500, 0.000], [0.000, 0.000, 0.500], [0.500, 0.000, 0.000]], "polymorph_energy_ev_per_atom": 0.000, "sg": "No. 123", "vol_a3_per_cell": 110.9}

| no. | DOS at the Fermi energy (states/eV per atom) |
| --- | --- |
| 1 | 0.53 |
| 2 | 0.53 |
| 3 | 0.78 |
| 4 | 0.38 |
| 5 | 1.04 |
| 6 | 0.47 |
| 7 | 0.68 |